Compound: LiCrCuTe3
Source: Alexandria via LeMat-Bulk
Functional: GGA-PBE
Structure: relaxed

uncorrected energy	-0.3319	Ry/atom
formation energy from raw total energies	-0.340	eV/atom

Geometry as extended XYZ:
```
12
Lattice="-2.6252 -1.9938 2.1466 5.7893 -2.9608 4.3300 -2.4150 7.9595 4.4394" Properties=species:S:1:pos:R:3 pbc="T T T"
Te 2.9505 -3.1272 6.1105
Te 0.5881 4.6539 6.8441
Te -1.6783 1.9727 5.1865
Te 2.4274 1.0322 5.7295
Te 0.1610 -1.6491 4.0719
Te -2.2014 6.1320 4.8055
Cu 2.4063 -0.9690 7.4494
Cu -1.6571 3.9739 3.4666
Li 1.2157 1.5958 8.3756
Li -0.4666 1.4091 2.5404
Cr 2.8556 -1.1944 4.1851
Cr -2.1065 4.1992 6.7309
```